(1)
# Tc2Ge6Ir

An optimized crystal structure of Tc2Ge6Ir (PBE-GGA, Alexandria).

Crystal system: monoclinic
Volume (Å³ per cell): 303.44
Polymorph energy (0 for the lowest one) (eV per atom): 0.000
E_form (meV/atom): -39
M_tot (μB per cell): 0.000

POSCAR file:
```
Tc2Ge6Ir
1.0
-0.998 1.576 -5.628
-4.538 -4.669 -0.502
-5.786 5.553 0.657
Ge Tc Ir
12 4 2
Cartesian
-4.235 0.933 -0.640
-4.558 0.126 -3.652
-7.087 1.526 -4.834
-2.231 2.547 -4.728
-4.598 3.196 -3.130
-6.724 -0.736 -2.344
-1.876 -1.057 -0.718
-6.665 5.488 -3.019
-9.091 -0.088 -0.746
-9.447 3.517 -4.756
-6.765 2.334 -1.822
-4.657 -3.028 -2.455
-4.393 -1.634 -0.411
-8.681 1.008 -2.996
-2.641 1.452 -2.478
-6.929 4.094 -5.063
-2.893 2.776 0.328
-2.768 -1.547 -3.065
```

(2)
# TcGeIr

An optimized crystal structure of TcGeIr (PBE-GGA, Alexandria).

Crystal system: orthorhombic
Volume (Å³ per cell): 88.71
E_form (meV/atom): -7
M_tot (μB per cell): 0.000

POSCAR file:
```
TcGeIr
1.0
2.841 0.000 0.000
-1.421 2.464 0.000
0.000 0.000 12.670
Ir Ge Tc
2 2 2
Cartesian
1.421 1.343 8.462
1.421 1.343 4.207
0.000 0.573 2.041
0.000 0.573 10.628
0.000 2.168 6.335
0.000 2.214 0.000
```

(3)
# TcGe4Ir

An optimized crystal structure of TcGe4Ir (PBE-GGA, Alexandria).

Crystal system: orthorhombic
Volume (Å³ per cell): 239.14
E_form (meV/atom): -133
M_tot (μB per cell): 0.000

POSCAR file:
```
TcGe4Ir
1.0
6.252 0.000 0.000
0.000 5.474 0.000
0.000 0.000 6.988
Ge Tc Ir
8 2 2
Cartesian
4.805 0.801 1.141
1.447 4.674 1.141
1.640 1.988 2.374
1.486 1.988 5.868
4.573 0.801 4.635
1.679 4.674 4.635
4.612 3.486 2.374
4.766 3.486 5.868
3.126 2.737 4.208
0.000 2.737 0.714
3.126 0.000 2.736
0.000 0.000 6.230
```

- M_tot of number 2 (TcGeIr)?
  0.000 μB per cell